This record from Alexandria describes crystalline BaCuP2 at its relaxed geometry. The functional is PBE-GGA.

Cell and atoms, written as extended XYZ:
```
4
Lattice="-2.0120 3.2552 3.6310 2.0120 -3.2552 3.6310 2.0120 3.2552 -3.6310" Properties=species:S:1:pos:R:3 pbc="T T T"
Ba 0.0000 0.0000 0.0000
Cu 0.0000 0.0000 3.6310
P 2.0120 0.0000 2.4939
P 0.0000 3.2552 1.1371
```

* calculated formation energy: -0.4700 eV/atom
* magnetization: 0.00 μB/cell
* calculated volume: 95.1 Å³/cell



This record from Alexandria describes crystalline ZrTi4Co5 at its relaxed geometry. The functional is PBE-GGA.

Cell and atoms, written as extended XYZ:
```
10
Lattice="2.9811 0.0000 0.0000 0.0000 2.9811 0.0000 0.0000 0.0000 15.3890" Properties=species:S:1:pos:R:3 pbc="T T T"
Zr 0.0000 0.0000 0.0000
Ti 0.0000 0.0000 3.2444
Ti 0.0000 0.0000 6.2229
Ti 0.0000 0.0000 9.1661
Ti 0.0000 0.0000 12.1446
Co 1.4905 1.4905 1.9592
Co 1.4905 1.4905 4.8011
Co 1.4905 1.4905 7.6945
Co 1.4905 1.4905 10.5879
Co 1.4905 1.4905 13.4297
```

* calculated formation energy: -0.3733 eV/atom
* magnetization: 0.06 μB/cell
* calculated volume: 136.8 Å³/cell



This record from Alexandria describes crystalline Na2CuGeSe4 at its relaxed geometry. The functional is PBE-GGA.

Cell and atoms, written as extended XYZ:
```
8
Lattice="-3.7745 3.7745 3.2703 3.7745 -3.7745 3.2703 3.7745 3.7745 -3.2703" Properties=species:S:1:pos:R:3 pbc="T T T"
Na 3.7745 0.0000 0.0000
Na 0.0000 3.7745 0.0000
Cu 0.0000 0.0000 0.0000
Ge 0.0000 0.0000 3.2703
Se 2.4926 2.4926 -1.5657
Se 1.2819 1.2819 1.7046
Se 1.2819 -1.2819 4.8360
Se -1.2819 1.2819 4.8360
```

* E_form (uncorrected): -0.524 eV/atom
* magnetization: 0.85 μB/cell
* calculated volume: 186.4 Å³/cell